(1)
Sr3Zn2Pt7: relaxed, PBE-GGA.

a = 5.6132 Å, b = 5.6132 Å, c = 25.8191 Å
α = 90.00°, β = 90.00°, γ = 120.00°
Space group R-3m (No. 166, hexagonal axes)
Unique sites:
1 Sr 0.0000 0.0000 0.0000
2 Sr 0.0000 0.0000 0.1407
3 Zn 0.0000 0.0000 0.3336
4 Pt 0.0000 0.0000 0.5000
5 Pt 0.0015 0.5008 0.9208

## Properties
Formation energy from the elements in eV per atom: -0.813

=====

(2)
Ir3RuAu: relaxed, PBE-GGA.

a = 4.6791 Å, b = 4.6791 Å, c = 4.6791 Å
α = 90.00°, β = 90.00°, γ = 90.00°
Space group Pm-3m (No. 221)
Unique sites:
1 Ir 0.0000 0.0000 0.5000
2 Ru 0.0000 0.0000 0.0000
3 Au 0.5000 0.5000 0.5000

## Properties
Formation energy from the elements in eV per atom: 1.839

=====

(3)
Sm6Co2Ni: relaxed, PBE-GGA.

a = 9.5522 Å, b = 9.5801 Å, c = 9.7422 Å
α = 90.00°, β = 90.00°, γ = 90.00°
Space group Immm (No. 71)
Unique sites:
1 Sm 0.0000 0.1831 0.2477
2 Sm 0.1827 0.5000 0.1733
3 Sm 0.2303 0.3242 0.5000
4 Co 0.0000 0.3261 0.0000
5 Co 0.0000 0.5000 0.3861
6 Ni 0.0000 0.0000 0.0000
7 Ni 0.0000 0.0000 0.5000

## Properties
Formation energy from the elements in eV per atom: -0.116

=====

(4)
PaTa4: relaxed, PBE-GGA.

a = 4.9010 Å, b = 4.9010 Å, c = 4.9010 Å
α = 90.00°, β = 90.00°, γ = 90.00°
Space group Pm-3m (No. 221)
Unique sites:
1 Pa 0.0000 0.0000 0.0000
2 Ta 0.0000 0.0000 0.5000
3 Ta 0.5000 0.5000 0.5000

## Properties
Formation energy from the elements in eV per atom: 1.977

=====

(5)
TaGe2H: relaxed, PBE-GGA.

a = 6.2855 Å, b = 6.2855 Å, c = 6.2855 Å
α = 90.00°, β = 90.00°, γ = 90.00°
Space group Fm-3m (No. 225)
Unique sites:
1 Ta 0.0000 0.0000 0.0000
2 Ge 0.2500 0.2500 0.2500
3 H 0.0000 0.0000 0.5000

## Properties
Energy in eV for the cell shown: -84.983

=====

(6)
La2Y7Ho2: relaxed, PBE-GGA.

a = 11.3162 Å, b = 11.7228 Å, c = 6.0842 Å
α = 90.00°, β = 113.25°, γ = 90.00°
Space group C2/m (No. 12)
Unique sites:
1 La 0.0000 0.2107 0.0000
2 Y 0.0000 0.0000 0.5000
3 Y 0.0932 0.5000 0.3092
4 Y 0.1728 0.2367 0.6728
5 Ho 0.2366 0.0000 0.0846

## Properties
Formation energy from the elements in eV per atom: 0.163

=====

(7)
Pr8IrAu2: relaxed, PBE-GGA.

a = 9.2939 Å, b = 13.3864 Å, c = 6.4368 Å
α = 90.00°, β = 116.38°, γ = 90.00°
Space group Cm (No. 8)
Unique sites:
1 Pr 0.0000 0.0000 0.0000
2 Pr 0.1110 0.3596 0.9023
3 Pr 0.1351 0.1293 0.5857
4 Pr 0.2305 0.5000 0.4326
5 Pr 0.3691 0.1453 0.2587
6 Ir 0.3875 0.0000 0.9580
7 Au 0.3539 0.3046 0.6899

## Properties
Formation energy from the elements in eV per atom: -0.304

=====

(8)
YUB12: relaxed, PBE-GGA.

a = 4.0852 Å, b = 4.0852 Å, c = 8.1819 Å
α = 90.00°, β = 90.00°, γ = 90.00°
Space group P4/mmm (No. 123)
Unique sites:
1 Y 0.0000 0.0000 0.0000
2 U 0.0000 0.0000 0.5000
3 B 0.1980 0.5000 0.2505
4 B 0.5000 0.5000 0.0993
5 B 0.5000 0.5000 0.4013

## Properties
Formation energy from the elements in eV per atom: -0.336

=====

(9)
Rb2TcSbI6: relaxed, PBE-GGA.

a = 8.4641 Å, b = 8.4641 Å, c = 12.0427 Å
α = 90.00°, β = 90.00°, γ = 90.00°
Space group I4/mmm (No. 139)
Unique sites:
1 Rb 0.0000 0.5000 0.2500
2 Tc 0.0000 0.0000 0.0000
3 Sb 0.0000 0.0000 0.5000
4 I 0.0000 0.0000 0.2377
5 I 0.2387 0.2387 0.0000

## Properties
Formation energy from raw total energies in meV/atom: -490

=====

(10)
AgHg2Pt: relaxed, PBE-GGA.

a = 3.0061 Å, b = 4.8949 Å, c = 5.1470 Å
α = 90.00°, β = 90.00°, γ = 90.00°
Space group Pmm2 (No. 25)
Unique sites:
1 Ag 0.0000 0.0000 0.0000
2 Hg 0.5000 0.0000 0.4862
3 Hg 0.5000 0.5000 0.8614
4 Pt 0.0000 0.5000 0.3523

## Properties
Formation energy from the elements in eV per atom: 0.083

=====

(11)
CsZr2ScCd: relaxed, PBE-GGA.

a = 5.2684 Å, b = 5.2684 Å, c = 5.7050 Å
α = 90.00°, β = 90.00°, γ = 90.00°
Space group P4/mmm (No. 123)
Unique sites:
1 Cs 0.0000 0.0000 0.0000
2 Zr 0.0000 0.5000 0.0000
3 Sc 0.5000 0.5000 0.5000
4 Cd 0.0000 0.0000 0.5000

## Properties
Formation energy from the elements in eV per atom: 1.760

=====

(12)
CsNa2HgF6: relaxed, PBE-GGA.

a = 11.2745 Å, b = 8.6274 Å, c = 7.5480 Å
α = 90.00°, β = 112.67°, γ = 90.00°
Space group C2/c (No. 15)
Unique sites:
1 Cs 0.0000 0.2490 0.2500
2 Na 0.2501 0.9997 0.2499
3 Hg 0.0000 0.2509 0.7500
4 F 0.1068 0.0657 0.9357
5 F 0.1072 0.4363 0.9349
6 F 0.1848 0.2502 0.6610

## Properties
Formation energy from raw total energies in meV/atom: -2087

=====

no.,density of states at the Fermi level (states/eV per cell)
1,17.644
2,4.706
3,38.120
4,7.020
5,14.565
6,35.198
7,30.028
8,8.197
9,9.316
10,1.446
11,2.253
12,16.504